Arrangement w

Below is a relaxed structure of Y4Ho3Tm, with properties calculated at the PBE-GGA level.

Computed properties:
Spin magnetization   0.0 Bohr magnetons per cell

a = 5.5870 Å, b = 26.1103 Å, c = 3.5605 Å
α = 90.00°, β = 90.00°, γ = 90.00°
Closest atoms and distances in Å follow each position.
Space group Cmmm (No. 65)
Asymmetric unit:
1 Y 0.0000 0.1024 0.0000 x4  1 Y 3.13, 2 Tm 3.21
2 Y 0.0000 0.2224 0.0000 x4  3 Y 3.13-3.14
3 Ho 0.0000 0.3451 0.5000 x4  2 Ho 3.56, 10 Y 3.58-3.75
4 Ho 0.0000 0.5000 0.0000 x2  4 Tm 3.31, 2 Ho 3.56
5 Tm 0.0000 0.0000 0.5000 x2  4 Y 3.21, 4 Ho 3.31, 2 Tm 3.56



Arrangement x

Below is a relaxed structure of Y4Ho3Tm, with properties calculated at the PBE-GGA level.

Computed properties:
Spin magnetization   0.0 Bohr magnetons per cell

a = 11.2136 Å, b = 7.2585 Å, c = 6.2693 Å
α = 90.00°, β = 90.00°, γ = 90.00°
Closest atoms and distances in Å follow each position.
Space group Pmn2_1 (No. 31)
Asymmetric unit:
1 Y 0.0000 0.1268 0.0000 x2  4 Ho 3.50-3.64, 6 Y 3.50-3.64, 2 Tm 3.60-3.66
2 Y 0.0000 0.8731 0.4995 x2  4 Ho 3.50-3.66, 6 Y 3.51-3.64, 2 Tm 3.60-3.64
3 Y 0.2503 0.1269 0.3365 x4  1 Tm 3.49, 5 Ho 3.50-3.66, 6 Y 3.50-3.64
4 Ho 0.0000 0.3768 0.5024 x2  4 Ho 3.49, 6 Y 3.50-3.66, 2 Tm 3.61
5 Ho 0.2499 0.3771 0.8330 x4  4 Ho 3.49-3.61, 2 Tm 3.49, 6 Y 3.50-3.66
6 Tm 0.0000 0.6232 0.0025 x2  6 Ho 3.49-3.61, 6 Y 3.49-3.66



Stability ranking, top entry: arrangement x; the second entry is 19.5 kJ/mol of atoms less favorable.



Arrangement w

Below is a relaxed structure of Y6HoTm12, with properties calculated at the PBE-GGA level.

Computed properties:
Spin magnetization   0.0 Bohr magnetons per cell

a = 13.0396 Å, b = 13.0396 Å, c = 12.4750 Å
α = 90.00°, β = 90.00°, γ = 120.00°
Closest atoms and distances in Å follow each position.
Space group R-3m (No. 166, hexagonal axes)
Asymmetric unit:
1 Y 0.0370 0.5185 0.1209 x18  1 Y 3.13, 2 Tm 3.39, 1 Ho 3.39
2 Ho 0.0000 0.0000 0.5000 x3  6 Y 3.39
3 Tm 0.0000 0.2561 0.0000 x18  6 Tm 3.30-3.50, 4 Y 3.39-3.55
4 Tm 0.0910 0.1820 0.7630 x18  6 Tm 3.30-3.56, 2 Y 3.63



Arrangement x

Below is a relaxed structure of Y6HoTm12, with properties calculated at the PBE-GGA level.

Computed properties:
Spin magnetization   0.0 Bohr magnetons per cell

a = 12.2382 Å, b = 12.2382 Å, c = 14.0130 Å
α = 90.00°, β = 90.00°, γ = 120.00°
Closest atoms and distances in Å follow each position.
Space group R-3 (No. 148, hexagonal axes)
Asymmetric unit:
1 Y 0.0270 0.4387 0.2148 x18  8 Tm 3.29-3.67, 1 Ho 3.44, 2 Y 3.63
2 Ho 0.0000 0.0000 0.5000 x3  6 Tm 3.37, 6 Y 3.44
3 Tm 0.0545 0.1821 0.3055 x18  4 Tm 3.21-3.43, 1 Ho 3.37, 3 Y 3.51-3.56
4 Tm 0.0675 0.8739 0.9045 x18  3 Tm 3.21-3.39, 3 Y 3.29-3.55



Stability ranking, top entry: arrangement x; the second entry is 3.5 kJ/mol of atoms less favorable.



Arrangement w

Below is a relaxed structure of Y8HoTm2, with properties calculated at the PBE-GGA level.

Computed properties:
Spin magnetization   0.0 Bohr magnetons per cell

a = 9.0250 Å, b = 16.2673 Å, c = 5.8784 Å
α = 90.00°, β = 124.46°, γ = 90.00°
Closest atoms and distances in Å follow each position.
Space group C2/m (No. 12)
Asymmetric unit:
1 Y 0.0000 0.2051 0.0000 x4  1 Ho 3.34, 2 Tm 3.39, 6 Y 3.56-3.67
2 Y 0.0685 0.5000 0.7922 x4  3 Y 2.92-3.22
3 Y 0.2182 0.1201 0.6818 x8  5 Y 3.22-3.59, 2 Tm 3.47-3.48
4 Ho 0.0000 0.0000 0.0000 x2  4 Y 3.34-3.36
5 Tm 0.0000 0.3090 0.5000 x4  10 Y 3.39-3.75



Arrangement x

Below is a relaxed structure of Y8HoTm2, with properties calculated at the PBE-GGA level.

Computed properties:
Spin magnetization   0.0 Bohr magnetons per cell

a = 14.2719 Å, b = 6.5727 Å, c = 9.2460 Å
α = 90.00°, β = 123.22°, γ = 90.00°
Closest atoms and distances in Å follow each position.
Space group C2/m (No. 12)
Asymmetric unit:
1 Y 0.1099 0.2445 0.4438 x8  6 Y 3.21-3.59, 1 Tm 3.33
2 Y 0.1247 0.0000 0.8032 x4  3 Y 3.08-3.26, 1 Ho 3.17, 3 Tm 3.17-3.38
3 Y 0.1408 0.5000 0.1385 x4  2 Y 3.08-3.38
4 Ho 0.0000 0.0000 0.0000 x2  2 Y 3.17
5 Tm 0.1789 0.5000 0.7998 x4  6 Y 3.17-3.46



Stability ranking, top entry: arrangement w; the second entry is 12.1 kJ/mol of atoms less favorable.



Arrangement w

Below is a relaxed structure of Y3Ho2Tm8, with properties calculated at the PBE-GGA level.

Computed properties:
Spin magnetization   0.0 Bohr magnetons per cell

a = 7.5200 Å, b = 20.1658 Å, c = 5.5366 Å
α = 90.00°, β = 90.00°, γ = 90.00°
Closest atoms and distances in Å follow each position.
Space group Cmmm (No. 65)
Asymmetric unit:
1 Y 0.0000 0.0000 0.0000 x2  4 Tm 3.10
2 Y 0.2163 0.5000 0.5000 x4  3 Y 3.25-3.49, 6 Tm 3.44-3.55
3 Ho 0.0000 0.2416 0.0000 x4  8 Tm 3.32-3.52
4 Tm 0.0000 0.1341 0.5000 x4  2 Y 3.44, 2 Ho 3.52, 6 Tm 3.54-3.82
5 Tm 0.0000 0.3328 0.5000 x4  2 Ho 3.32, 4 Tm 3.40
6 Tm 0.2129 0.3900 0.0000 x8  1 Y 3.10, 3 Tm 3.20-3.40, 2 Ho 3.39-3.42



Arrangement x

Below is a relaxed structure of Y3Ho2Tm8, with properties calculated at the PBE-GGA level.

Computed properties:
Spin magnetization   0.0 Bohr magnetons per cell

a = 6.7580 Å, b = 8.7244 Å, c = 14.7740 Å
α = 88.46°, β = 77.61°, γ = 73.73°
Closest atoms and distances in Å follow each position.
Space group P-1 (No. 2)
Asymmetric unit:
1 Y 0.0000 0.0000 0.0000 x1  8 Tm 3.46-3.60, 2 Ho 3.56, 2 Y 3.62
2 Y 0.0000 0.5000 0.5000 x1  2 Ho 3.28, 4 Tm 3.44-3.68, 2 Y 3.47
3 Y 0.0534 0.3925 0.7235 x2  8 Tm 3.22-3.55, 1 Y 3.47, 1 Ho 3.59
4 Y 0.2773 0.9358 0.1879 x2  2 Ho 3.34-3.39, 7 Tm 3.36-3.58, 1 Y 3.62
5 Ho 0.2615 0.2988 0.9285 x2  3 Y 3.34-3.59, 8 Tm 3.36-3.59
6 Ho 0.2721 0.2139 0.3450 x2  2 Y 3.28-3.39, 6 Tm 3.35-3.63
7 Tm 0.0035 0.8982 0.4126 x2  4 Tm 3.16-3.51, 2 Y 3.43-3.49
8 Tm 0.0650 0.6861 0.8476 x2  3 Y 3.22-3.56, 5 Tm 3.44-3.54, 2 Ho 3.54
9 Tm 0.2494 0.0112 0.7621 x2  4 Tm 3.18-3.51, 2 Y 3.30-3.38, 1 Ho 3.35
10 Tm 0.2589 0.6053 0.0642 x2  5 Tm 3.32-3.69, 3 Ho 3.36-3.59, 3 Y 3.38-3.60
11 Tm 0.2649 0.6947 0.6104 x2  5 Tm 3.26-3.57, 2 Ho 3.41-3.63, 2 Y 3.44-3.55
12 Tm 0.4498 0.5614 0.2689 x2  5 Tm 3.28-3.64, 3 Y 3.29-3.52, 2 Ho 3.54-3.63
13 Tm 0.4712 0.1662 0.5684 x2  6 Tm 3.26-3.64, 1 Y 3.39, 1 Ho 3.63
14 Tm 0.4899 0.2331 0.1134 x2  5 Tm 3.18-3.54, 2 Y 3.36-3.55, 2 Ho 3.38-3.44



Stability ranking, top entry: arrangement x; the second entry is 12.5 kJ/mol of atoms less favorable.